# 1
First-principles (PBE) data for K4HoNb3O12 after structural relaxation, as listed in Alexandria via LeMat-Bulk.

Unit cell a=7.2124 b=7.2124 c=7.2124 alpha=109.47 beta=109.47 gamma=109.47
Closest atoms and distances in Å follow each position.
Atoms (fractional coordinates):
K: 0.0000 0.0000 0.5000  12 O 2.94-2.95
K: 0.0000 0.5000 0.0000  12 O 2.94-2.95
K: 0.5000 0.0000 0.0000  12 O 2.94-2.95
K: 0.5000 0.5000 0.5000  12 O 2.94-2.95
Ho: 0.0000 0.0000 0.0000  6 O 2.22
Nb: 0.0000 0.5000 0.5000  6 O 1.94-2.08
Nb: 0.5000 0.0000 0.5000  6 O 1.94-2.08
Nb: 0.5000 0.5000 0.0000  6 O 1.94-2.08
O: 0.0000 0.2668 0.2668  1 Nb 1.94
O: 0.0000 0.7332 0.7332  1 Nb 1.94
O: 0.2500 0.5000 0.7500  2 Nb 2.08
O: 0.2500 0.7500 0.5000  2 Nb 2.08
O: 0.2668 0.0000 0.2668  1 Nb 1.94
O: 0.2668 0.2668 0.0000  1 Nb 1.94
O: 0.5000 0.2500 0.7500  2 Nb 2.08
O: 0.5000 0.7500 0.2500  2 Nb 2.08
O: 0.7332 0.0000 0.7332  1 Nb 1.94
O: 0.7332 0.7332 0.0000  1 Nb 1.94
O: 0.7500 0.2500 0.5000  2 Nb 2.08
O: 0.7500 0.5000 0.2500  2 Nb 2.08

Values from the calculation:
Final energy (eV per atom): -7.26
V (Å³/atom): 14.440
Total magnetization (μB per cell): 2.0
Fermi-level density of states (states/eV per atom): 0.633



# 2
First-principles (PBE) data for K3HoNb2O9 after structural relaxation, as listed in Alexandria via LeMat-Bulk.

Unit cell a=5.9428 b=5.9428 c=7.3139 alpha=90.00 beta=90.00 gamma=120.00
Closest atoms and distances in Å follow each position.
Atoms (fractional coordinates):
K: 0.0000 0.0000 0.0000  12 O 2.93-2.97
K: 0.3333 0.6667 0.6746  12 O 2.93-3.09
K: 0.6667 0.3333 0.3254  12 O 2.93-3.09
Ho: 0.0000 0.0000 0.5000  6 O 2.24
Nb: 0.3333 0.6667 0.1761  6 O 1.93-2.15
Nb: 0.6667 0.3333 0.8239  6 O 1.93-2.15
O: 0.0000 0.5000 0.0000  2 Nb 2.15
O: 0.1747 0.3494 0.3165  1 Nb 1.93
O: 0.1747 0.8253 0.3165  1 Nb 1.93
O: 0.3494 0.1747 0.6835  1 Nb 1.93
O: 0.5000 0.0000 0.0000  2 Nb 2.15
O: 0.5000 0.5000 0.0000  2 Nb 2.15
O: 0.6506 0.8253 0.3165  1 Nb 1.93
O: 0.8253 0.1747 0.6835  1 Nb 1.93
O: 0.8253 0.6506 0.6835  1 Nb 1.93

Values from the calculation:
Final energy (eV per atom): -7.16
V (Å³/atom): 14.913
Total magnetization (μB per cell): 2.0
Fermi-level density of states (states/eV per atom): 0.390



# 3
First-principles (PBE) data for K3Nd2HoO6 after structural relaxation, as listed in Alexandria via LeMat-Bulk.

Unit cell a=6.2104 b=6.2104 c=6.6248 alpha=98.98 beta=98.98 gamma=120.01
Closest atoms and distances in Å follow each position.
Atoms (fractional coordinates):
K: 0.0000 0.0000 0.0000  6 O 2.82-2.90
K: 0.3356 0.6644 0.0000  6 O 2.81-2.92
K: 0.6644 0.3356 0.0000  6 O 2.81-2.92
Nd: 0.1667 0.8333 0.5000  6 O 2.42
Nd: 0.8333 0.1667 0.5000  6 O 2.42
Ho: 0.5000 0.5000 0.5000  6 O 2.32-2.33
O: 0.1152 0.4371 0.3111  1 Ho 2.33, 2 Nd 2.42
O: 0.2408 0.2408 0.6883  1 Ho 2.32, 2 Nd 2.42
O: 0.4371 0.1152 0.3111  1 Ho 2.33, 2 Nd 2.42
O: 0.5629 0.8848 0.6889  1 Ho 2.33, 2 Nd 2.42
O: 0.7592 0.7592 0.3117  1 Ho 2.32, 2 Nd 2.42
O: 0.8848 0.5629 0.6889  1 Ho 2.33, 2 Nd 2.42

Values from the calculation:
Final energy (eV per atom): -6.59
V (Å³/atom): 17.517
Total magnetization (μB per cell): 0.0
Fermi-level density of states (states/eV per atom): 0.000



# 4
First-principles (PBE) data for K3NdHo2O6 after structural relaxation, as listed in Alexandria via LeMat-Bulk.

Unit cell a=6.1067 b=6.1067 c=6.5979 alpha=98.87 beta=98.87 gamma=120.01
Closest atoms and distances in Å follow each position.
Atoms (fractional coordinates):
K: 0.0000 0.0000 0.0000  6 O 2.78-2.86
K: 0.3318 0.6682 0.0000  6 O 2.77-2.87
K: 0.6682 0.3318 0.0000  6 O 2.77-2.87
Nd: 0.5000 0.5000 0.5000  6 O 2.41
Ho: 0.1667 0.8333 0.5000  6 O 2.32
Ho: 0.8333 0.1667 0.5000  6 O 2.32
O: 0.0930 0.4379 0.3136  2 Ho 2.32, 1 Nd 2.41
O: 0.2173 0.2173 0.6868  2 Ho 2.32, 1 Nd 2.41
O: 0.4379 0.0930 0.3136  2 Ho 2.32, 1 Nd 2.41
O: 0.5621 0.9070 0.6864  2 Ho 2.32, 1 Nd 2.41
O: 0.7827 0.7827 0.3132  2 Ho 2.32, 1 Nd 2.41
O: 0.9070 0.5621 0.6864  2 Ho 2.32, 1 Nd 2.41

Values from the calculation:
Final energy (eV per atom): -6.63
V (Å³/atom): 16.890
Total magnetization (μB per cell): 0.0
Fermi-level density of states (states/eV per atom): 0.000



# 5
First-principles (PBE) data for K2NdHoO4 after structural relaxation, as listed in Alexandria via LeMat-Bulk.

Unit cell a=6.1582 b=3.5556 c=6.6098 alpha=90.00 beta=108.04 gamma=90.00
Closest atoms and distances in Å follow each position.
Atoms (fractional coordinates):
K: 0.0000 0.0000 0.0000  6 O 2.87-2.88
K: 0.5000 0.5000 0.0000  6 O 2.80-2.81
Nd: 0.0000 0.5000 0.5000  6 O 2.40-2.41
Ho: 0.5000 0.0000 0.5000  6 O 2.31-2.34
O: 0.2403 0.0000 0.6890  1 Ho 2.31, 2 Nd 2.40
O: 0.2804 0.5000 0.3135  2 Ho 2.34, 1 Nd 2.41
O: 0.7196 0.5000 0.6865  2 Ho 2.34, 1 Nd 2.41
O: 0.7597 0.0000 0.3110  1 Ho 2.31, 2 Nd 2.40

Values from the calculation:
Final energy (eV per atom): -6.61
V (Å³/atom): 17.202
Total magnetization (μB per cell): 0.0
Fermi-level density of states (states/eV per atom): 0.000



# 6
First-principles (PBE) data for K2NdHoS4 after structural relaxation, as listed in Alexandria via LeMat-Bulk.

Unit cell a=7.1314 b=4.1156 c=7.7592 alpha=90.00 beta=107.82 gamma=90.00
Closest atoms and distances in Å follow each position.
Atoms (fractional coordinates):
K: 0.0000 0.0000 0.0000  6 S 3.26-3.27
K: 0.5000 0.5000 0.0000  6 S 3.20
Nd: 0.0000 0.5000 0.5000  6 S 2.85-2.86
Ho: 0.5000 0.0000 0.5000  6 S 2.77-2.78
S: 0.2439 0.0000 0.7059  1 Ho 2.77, 2 Nd 2.85
S: 0.2741 0.5000 0.2977  2 Ho 2.78, 1 Nd 2.86
S: 0.7259 0.5000 0.7023  2 Ho 2.78, 1 Nd 2.86
S: 0.7561 0.0000 0.2941  1 Ho 2.77, 2 Nd 2.85

Values from the calculation:
Final energy (eV per atom): -5.37
V (Å³/atom): 27.100
Total magnetization (μB per cell): 0.0
Fermi-level density of states (states/eV per atom): 0.000



# 7
First-principles (PBE) data for K3Nd2HoS6 after structural relaxation, as listed in Alexandria via LeMat-Bulk.

Unit cell a=7.1761 b=7.1761 c=7.7692 alpha=98.86 beta=98.86 gamma=120.00
Closest atoms and distances in Å follow each position.
Atoms (fractional coordinates):
K: 0.0000 0.0000 0.0000  6 S 3.21-3.29
K: 0.3326 0.6674 0.0000  6 S 3.21-3.28
K: 0.6674 0.3326 0.0000  6 S 3.21-3.28
Nd: 0.1666 0.8334 0.5000  6 S 2.86
Nd: 0.8334 0.1666 0.5000  6 S 2.86
Ho: 0.5000 0.5000 0.5000  6 S 2.78
S: 0.1075 0.4316 0.2948  1 Ho 2.78, 2 Nd 2.86
S: 0.2444 0.2444 0.7050  1 Ho 2.78, 2 Nd 2.86
S: 0.4316 0.1075 0.2948  1 Ho 2.78, 2 Nd 2.86
S: 0.5684 0.8925 0.7052  1 Ho 2.78, 2 Nd 2.86
S: 0.7556 0.7556 0.2950  1 Ho 2.78, 2 Nd 2.86
S: 0.8925 0.5684 0.7052  1 Ho 2.78, 2 Nd 2.86

Values from the calculation:
Final energy (eV per atom): -5.37
V (Å³/atom): 27.468
Total magnetization (μB per cell): 0.0
Fermi-level density of states (states/eV per atom): 0.000



# 8
First-principles (PBE) data for K3NdHo2S6 after structural relaxation, as listed in Alexandria via LeMat-Bulk.

Unit cell a=7.0821 b=7.0821 c=7.7479 alpha=98.77 beta=98.77 gamma=120.00
Closest atoms and distances in Å follow each position.
Atoms (fractional coordinates):
K: 0.0000 0.0000 0.0000  6 S 3.17-3.25
K: 0.3343 0.6657 0.0000  6 S 3.18-3.25
K: 0.6657 0.3343 0.0000  6 S 3.18-3.25
Nd: 0.5000 0.5000 0.5000  6 S 2.85
Ho: 0.1668 0.8332 0.5000  6 S 2.77
Ho: 0.8332 0.1668 0.5000  6 S 2.77
S: 0.0896 0.4323 0.2970  2 Ho 2.77, 1 Nd 2.85
S: 0.2249 0.2249 0.7030  2 Ho 2.77, 1 Nd 2.85
S: 0.4323 0.0896 0.2970  2 Ho 2.77, 1 Nd 2.85
S: 0.5677 0.9104 0.7030  2 Ho 2.77, 1 Nd 2.85
S: 0.7751 0.7751 0.2970  2 Ho 2.77, 1 Nd 2.85
S: 0.9104 0.5677 0.7030  2 Ho 2.77, 1 Nd 2.85

Values from the calculation:
Final energy (eV per atom): -5.37
V (Å³/atom): 26.708
Total magnetization (μB per cell): 0.0
Fermi-level density of states (states/eV per atom): 0.000



# 9
First-principles (PBE) data for KNdHo4S8 after structural relaxation, as listed in Alexandria via LeMat-Bulk.

Unit cell a=8.3044 b=8.3044 c=8.3044 alpha=59.02 beta=59.02 gamma=59.02
Closest atoms and distances in Å follow each position.
Atoms (fractional coordinates):
K: 0.0000 0.0000 0.0000  4 S 2.85-2.86
Nd: 0.6331 0.6331 0.6331  6 S 2.76-2.95
Ho: 0.1155 0.6331 0.6331  6 S 2.65-2.88
Ho: 0.2544 0.2544 0.2544  4 S 2.64-2.70
Ho: 0.6331 0.1155 0.6331  6 S 2.65-2.88
Ho: 0.6331 0.6331 0.1155  6 S 2.65-2.88
S: 0.3814 0.3814 0.8598  3 Ho 2.64-2.88, 1 Nd 2.95
S: 0.3814 0.8598 0.3814  3 Ho 2.64-2.88, 1 Nd 2.95
S: 0.3860 0.3860 0.3860  4 Ho 2.70-2.88
S: 0.4263 0.8685 0.8685  2 Ho 2.65, 1 Nd 2.76, 1 K 2.86
S: 0.8598 0.3814 0.3814  3 Ho 2.64-2.88, 1 Nd 2.95
S: 0.8609 0.8609 0.8609  3 Ho 2.66, 1 K 2.85
S: 0.8685 0.4263 0.8685  2 Ho 2.65, 1 Nd 2.76, 1 K 2.86
S: 0.8685 0.8685 0.4263  2 Ho 2.65, 1 Nd 2.76, 1 K 2.86

Values from the calculation:
Final energy (eV per atom): -6.01
V (Å³/atom): 28.277
Total magnetization (μB per cell): 0.0
Fermi-level density of states (states/eV per atom): 0.000



# 10
First-principles (PBE) data for K4Nd3HoSe8 after structural relaxation, as listed in Alexandria via LeMat-Bulk.

Unit cell a=9.1723 b=9.1723 c=9.1723 alpha=56.09 beta=56.09 gamma=56.09
Closest atoms and distances in Å follow each position.
Atoms (fractional coordinates):
K: 0.0000 0.0000 0.0000  6 Se 3.40
K: 0.0000 0.5000 0.5000  6 Se 3.33
K: 0.5000 0.0000 0.5000  6 Se 3.33
K: 0.5000 0.5000 0.0000  6 Se 3.33
Nd: 0.0000 0.0000 0.5000  6 Se 2.98-2.99
Nd: 0.0000 0.5000 0.0000  6 Se 2.98-2.99
Nd: 0.5000 0.0000 0.0000  6 Se 2.98-2.99
Ho: 0.5000 0.5000 0.5000  6 Se 2.91
Se: 0.2374 0.2374 0.2374  3 Nd 2.98, 3 K 3.33
Se: 0.2442 0.7320 0.7320  1 Ho 2.91, 2 Nd 2.99
Se: 0.2680 0.2680 0.7558  1 Ho 2.91, 2 Nd 2.99
Se: 0.2680 0.7558 0.2680  1 Ho 2.91, 2 Nd 2.99
Se: 0.7320 0.2442 0.7320  1 Ho 2.91, 2 Nd 2.99
Se: 0.7320 0.7320 0.2442  1 Ho 2.91, 2 Nd 2.99
Se: 0.7558 0.2680 0.2680  1 Ho 2.91, 2 Nd 2.99
Se: 0.7626 0.7626 0.7626  3 Nd 2.98, 3 K 3.33

Values from the calculation:
Final energy (eV per atom): -4.95
V (Å³/atom): 31.014
Total magnetization (μB per cell): 0.0
Fermi-level density of states (states/eV per atom): 0.000



The records above give, respectively, energy relative to the elements, uncorrected values of -2326, -2313, -2661, -2719, -2685, -1865, -1861, -1874, -1922, -1752 meV/atom.